# Ti2NbGaI

A relaxed Ti2NbGaI crystal (PBE, Alexandria).

Results
energy relative to the elements, uncorrected	0.992	eV/atom
space-group type	P4/mmm (123)

Unit cell a=4.8749 b=4.8749 c=5.4675 alpha=90.00 beta=90.00 gamma=90.00
Positions (direct):
Ti (0.0000, 0.5000, 0.0000)
Ti (0.5000, 0.0000, 0.0000)
Nb (0.0000, 0.0000, 0.0000)
Ga (0.5000, 0.5000, 0.5000)
I (0.0000, 0.0000, 0.5000)